Compound: K2CoTc
Source: Alexandria
Functional: PBE-GGA
Structure: relaxed

The space group is P4/mmm (No. 123) and the conventional cell measures 2.7201, 2.7201 and 11.2690 Å, with angles of 90.00, 90.00 and 90.00 degrees. The distinct sites, in fractional coordinates, are K at (0.0000, 0.0000, 0.2457), Co at (0.5000, 0.5000, 0.0000) and Tc at (0.5000, 0.5000, 0.5000).

As for the energy above the lowest structure with this stoichiometry: 569.4 meV/atom. The calculation puts the magnetic moment at 1.59 μB/f.u. The energy relative to the elements comes out at 1.339 eV per atom. The density is 4683 kg/m3.